VASP calculation (PBE) on an optimized crystal structure of BaPd2Pt2.

E above lowest polymorph ... 100.2 meV per atom
Total magnetization ... 0.000 μB/f.u.
N(E_F) ... 10.2 states/eV/cell
Formation energy from the elements ... -17 kJ per mole of atoms

Cell: 8.019 8.019 3.036 Å, 90.00 90.00 90.00°
Fractional positions:
Pd1 0.176 0.676 0.500
Pd2 0.824 0.324 0.500
Pd3 0.676 0.824 0.500
Pd4 0.324 0.176 0.500
Pt1 0.122 0.378 0.000
Pt2 0.622 0.122 0.000
Pt3 0.378 0.878 0.000
Pt4 0.878 0.622 0.000
Ba1 0.500 0.500 0.000
Ba2 0.000 0.000 0.000

---

VASP calculation (PBE) on an optimized crystal structure of Ba4PdPt2.

Total magnetization ... 0.000 μB/f.u.
N(E_F) ... 9.2 states/eV/cell
Formation energy from the elements ... -59 kJ per mole of atoms

Cell: 8.504 8.505 8.509 Å, 109.49 109.48 109.42°
Fractional positions:
Ba1 0.750 0.500 0.878
Ba2 0.250 0.000 0.378
Ba3 0.129 0.250 0.750
Ba4 0.622 0.871 0.622
Ba5 0.129 0.750 0.750
Ba6 0.621 0.872 0.122
Ba7 0.500 0.379 0.250
Ba8 0.000 0.379 0.250
Pt1 0.375 0.497 0.622
Pt2 0.503 0.125 0.878
Pt3 0.875 0.753 0.378
Pt4 0.247 0.625 0.122
Pd1 0.000 0.000 0.000
Pd2 0.750 0.250 0.500

---

VASP calculation (PBE) on an optimized crystal structure of BaPdPt3.

E above lowest polymorph ... 0.0 meV per atom
Total magnetization ... 0.000 μB/f.u.
N(E_F) ... 9.2 states/eV/cell
Formation energy from the elements ... 27 kJ per mole of atoms

Cell: 4.987 4.987 4.987 Å, 90.00 90.00 90.00°
Fractional positions:
Ba1 0.500 0.500 0.500
Pt1 0.000 0.500 0.000
Pt2 0.500 0.000 0.000
Pt3 0.000 0.000 0.500
Pd1 0.000 0.000 0.000

---

VASP calculation (PBE) on an optimized crystal structure of Ba3Pd2Pt7.

Total magnetization ... 0.000 μB/f.u.
N(E_F) ... 8.9 states/eV/cell
Formation energy from the elements ... -59 kJ per mole of atoms

Cell: 5.633 5.633 9.653 Å, 73.03 73.03 60.00°
Fractional positions:
Pt1 0.918 0.418 0.246
Pt2 0.582 0.082 0.754
Pt3 0.582 0.582 0.754
Pt4 0.418 0.418 0.246
Pt5 0.500 0.500 0.500
Pt6 0.418 0.918 0.246
Pt7 0.082 0.582 0.754
Ba1 0.000 0.000 0.000
Ba2 0.859 0.859 0.422
Ba3 0.141 0.141 0.578
Pd1 0.668 0.668 0.995
Pd2 0.332 0.332 0.005

---

VASP calculation (PBE) on an optimized crystal structure of Ba12Pd3Pt5.

Total magnetization ... 0.000 μB/f.u.
N(E_F) ... 60.9 states/eV/cell
Formation energy from the elements ... -39 kJ per mole of atoms

Cell: 16.381 16.381 16.381 Å, 109.47 109.47 109.47°
Fractional positions:
Ba1 0.542 0.325 0.914
Ba2 0.958 0.372 0.283
Ba3 0.410 0.283 0.325
Ba4 0.042 0.414 0.825
Ba5 0.042 0.628 0.717
Ba6 0.590 0.872 0.414
Ba7 0.717 0.128 0.042
Ba8 0.128 0.410 0.086
Ba9 0.086 0.910 0.128
Ba10 0.372 0.958 0.783
Ba11 0.586 0.628 0.410
Ba12 0.717 0.590 0.175
Ba13 0.825 0.914 0.042
Ba14 0.217 0.542 0.628
Ba15 0.910 0.086 0.628
Ba16 0.914 0.090 0.872
Ba17 0.914 0.825 0.542
Ba18 0.783 0.458 0.372
Ba19 0.414 0.042 0.325
Ba20 0.325 0.542 0.414
Ba21 0.414 0.372 0.590
Ba22 0.825 0.910 0.283
Ba23 0.458 0.783 0.872
Ba24 0.958 0.586 0.175
Ba25 0.872 0.590 0.914
Ba26 0.628 0.586 0.910
Ba27 0.086 0.175 0.458
Ba28 0.090 0.914 0.372
Ba29 0.090 0.175 0.217
Ba30 0.675 0.458 0.586
Ba31 0.783 0.325 0.910
Ba32 0.283 0.872 0.958
Ba33 0.410 0.128 0.586
Ba34 0.128 0.717 0.542
Ba35 0.586 0.958 0.675
Ba36 0.325 0.783 0.410
Ba37 0.910 0.825 0.783
Ba38 0.217 0.675 0.090
Ba39 0.542 0.217 0.128
Ba40 0.675 0.217 0.590
Ba41 0.628 0.042 0.217
Ba42 0.283 0.410 0.825
Ba43 0.372 0.414 0.090
Ba44 0.590 0.717 0.675
Ba45 0.458 0.675 0.086
Ba46 0.175 0.090 0.717
Ba47 0.175 0.086 0.958
Ba48 0.872 0.283 0.458
Pd1 0.750 0.875 0.625
Pd2 0.375 0.625 0.250
Pd3 0.875 0.750 0.125
Pd4 0.125 0.875 0.750
Pd5 0.250 0.125 0.375
Pd6 0.625 0.375 0.750
Pd7 0.625 0.250 0.375
Pd8 0.875 0.125 0.250
Pd9 0.375 0.750 0.625
Pd10 0.750 0.375 0.125
Pd11 0.125 0.250 0.875
Pd12 0.250 0.625 0.875
Pt1 0.250 0.875 0.125
Pt2 0.000 0.000 0.000
Pt3 0.875 0.625 0.750
Pt4 0.750 0.625 0.375
Pt5 0.625 0.875 0.250
Pt6 0.500 0.500 0.000
Pt7 0.500 0.000 0.000
Pt8 0.875 0.250 0.625
Pt9 0.750 0.125 0.875
Pt10 0.375 0.250 0.125
Pt11 0.000 0.500 0.500
Pt12 0.250 0.375 0.625
Pt13 0.000 0.000 0.500
Pt14 0.625 0.750 0.875
Pt15 0.375 0.125 0.750
Pt16 0.000 0.500 0.000
Pt17 0.125 0.375 0.250
Pt18 0.500 0.500 0.500
Pt19 0.125 0.750 0.375
Pt20 0.500 0.000 0.500

---

VASP calculation (PBE) on an optimized crystal structure of BaPd3Pt.

E above lowest polymorph ... 1752.8 meV per atom
Total magnetization ... 0.000 μB/f.u.
N(E_F) ... 2.6 states/eV/cell
Formation energy from the elements ... 137 kJ per mole of atoms

Cell: 5.229 5.229 5.229 Å, 90.00 90.00 90.00°
Fractional positions:
Pt1 0.500 0.500 0.500
Pd1 0.500 0.000 0.000
Pd2 0.000 0.500 0.000
Pd3 0.000 0.000 0.500
Ba1 0.000 0.000 0.000

---

VASP calculation (PBE) on an optimized crystal structure of Ba2Pd2Pt.

E above lowest polymorph ... 0.0 meV per atom
Total magnetization ... 0.000 μB/f.u.
N(E_F) ... 1.8 states/eV/cell
Formation energy from the elements ... -58 kJ per mole of atoms

Cell: 4.824 5.661 6.064 Å, 117.82 113.44 90.00°
Fractional positions:
Pt1 0.000 0.000 0.000
Ba1 0.194 0.694 0.389
Ba2 0.806 0.306 0.611
Pd1 0.500 0.751 0.000
Pd2 0.500 0.249 0.000

---

VASP calculation (PBE) on an optimized crystal structure of BaPdPt.

E above lowest polymorph ... 81.4 meV per atom
Total magnetization ... 0.000 μB/f.u.
N(E_F) ... 0.6 states/eV/cell
Formation energy from the elements ... -56 kJ per mole of atoms

Cell: 4.573 4.490 4.490 Å, 120.00 90.00 90.00°
Fractional positions:
Pd1 0.167 0.667 0.333
Pt1 0.167 0.000 0.000
Ba1 0.667 0.333 0.667

---

Number 1: final energy -5.053 eV/atom. Number 2: final energy -4.181 eV/atom. Number 3: final energy -4.768 eV/atom. Number 4: final energy -5.481 eV/atom. Number 5: final energy -3.848 eV/atom. Number 6: final energy -3.289 eV/atom. Number 7: final energy -4.655 eV/atom. Number 8: final energy -4.970 eV/atom.